[1]
The following is a DFT calculation (PBE-GGA) of crystalline PrSnGe at its relaxed geometry.

Cell and atoms, written as POSCAR:
```
PrSnGe
1.0
4.136 0.000 0.000
0.000 4.256 0.000
0.000 -2.128 8.928
Pr Sn Ge
2 2 2
direct
0.750 0.904 0.808
0.250 0.096 0.192
0.750 0.714 0.429
0.250 0.286 0.571
0.750 0.548 0.097
0.250 0.452 0.903
```

Output
As for the volume: 26.188 A^3/atom. Its space group is Cmcm. As for the crystal system: orthorhombic. As for the energy of formation from the pure elements: -0.604 eV/atom.

=====

[2]
The following is a DFT calculation (PBE-GGA) of crystalline LiCaPrEr at its relaxed geometry.

Cell and atoms, written as POSCAR:
```
LiCaPrEr
1.0
5.672 0.000 0.000
2.836 4.912 0.000
2.836 1.637 4.631
Pr Ca Li Er
1 1 1 1
direct
0.000 0.000 0.000
0.500 0.500 0.500
0.250 0.250 0.250
0.750 0.750 0.750
```

Output
As for the volume: 32.251 A^3/atom. Its space group is F-43m. As for the crystal system: cubic. As for the energy of formation from the pure elements: 0.202 eV/atom.

=====

[3]
The following is a DFT calculation (PBE-GGA) of crystalline ErGa6Co at its relaxed geometry.

Cell and atoms, written as POSCAR:
```
ErGa6Co
1.0
-3.443 -4.453 -4.746
-4.442 -5.313 2.497
-7.282 0.545 -0.940
Er Ga Co
1 6 1
direct
0.500 0.500 0.500
0.781 0.781 0.219
0.781 0.219 0.219
0.219 0.781 0.781
0.219 0.219 0.781
0.219 0.781 0.219
0.781 0.219 0.781
0.000 0.000 0.000
```

Output
As for the volume: 35.272 A^3/atom. Its space group is Fm-3m. As for the crystal system: cubic. As for the energy of formation from the pure elements: 0.354 eV/atom.

=====

[4]
The following is a DFT calculation (PBE-GGA) of crystalline BaLa2Co2 at its relaxed geometry.

Cell and atoms, written as POSCAR:
```
BaLa2Co2
1.0
-0.928 -0.024 -8.197
-1.219 -8.158 0.161
-3.756 0.569 0.424
Co Ba La
4 2 4
direct
0.378 0.878 0.000
0.878 0.622 0.000
0.622 0.122 0.000
0.122 0.378 0.000
0.000 0.000 0.000
0.500 0.500 0.000
0.145 0.645 0.500
0.645 0.855 0.500
0.855 0.355 0.500
0.355 0.145 0.500
```

Output
As for the volume: 26.013 A^3/atom. Its space group is P4/mbm. As for the crystal system: tetragonal. Its energy above the most stable polymorph in this dataset is 0.006 eV per atom. As for the energy of formation from the pure elements: 0.194 eV/atom.

=====

[5]
The following is a DFT calculation (PBE-GGA) of crystalline NaLi3Au4 at its relaxed geometry.

Cell and atoms, written as POSCAR:
```
NaLi3Au4
1.0
4.420 0.000 0.000
0.000 6.916 0.000
0.000 0.000 8.837
Na Au Li
2 8 6
direct
0.000 0.500 0.000
0.000 0.500 0.500
0.500 0.775 0.000
0.500 0.775 0.500
0.500 0.225 0.000
0.500 0.225 0.500
0.003 0.776 0.750
0.997 0.776 0.250
0.997 0.224 0.250
0.003 0.224 0.750
0.000 0.000 0.000
0.000 0.000 0.500
0.504 0.000 0.750
0.496 0.000 0.250
0.502 0.500 0.750
0.498 0.500 0.250
```

Output
As for the volume: 16.883 A^3/atom. Its space group is Pmma. As for the crystal system: orthorhombic. As for the energy of formation from the pure elements: -0.442 eV/atom.

=====

[6]
The following is a DFT calculation (PBE-GGA) of crystalline DyEr2Cu9 at its relaxed geometry.

Cell and atoms, written as POSCAR:
```
DyEr2Cu9
1.0
-1.192 0.575 4.961
-0.570 -4.129 2.999
7.485 -0.914 4.562
Dy Er Cu
1 2 9
direct
0.000 0.000 0.000
0.859 0.859 0.424
0.141 0.141 0.576
0.668 0.668 0.997
0.332 0.332 0.003
0.500 0.500 0.500
0.417 0.417 0.247
0.918 0.417 0.247
0.417 0.918 0.247
0.583 0.583 0.753
0.583 0.082 0.753
0.082 0.583 0.753
```

Output
As for the volume: 15.793 A^3/atom. Its space group is R-3m. As for the crystal system: trigonal. As for the energy of formation from the pure elements: -0.214 eV/atom.

=====

[7]
The following is a DFT calculation (PBE-GGA) of crystalline Ag2BrCl at its relaxed geometry.

Cell and atoms, written as POSCAR:
```
Ag2BrCl
1.0
4.048 0.109 0.000
-0.109 4.048 0.000
0.000 0.000 5.715
Br Ag Cl
1 2 1
direct
0.000 0.000 0.375
0.000 0.000 0.875
0.500 0.500 0.374
0.500 0.500 0.875
```

Output
As for the volume: 23.428 A^3/atom. The formation energy (no corrections) comes out at -0.36 eV/atom. Its space group is P4mm. As for the crystal system: tetragonal. Its energy above the most stable polymorph in this dataset is 0.033 eV per atom.

=====

[8]
The following is a DFT calculation (PBE-GGA) of crystalline YNp2RhN4 at its relaxed geometry.

Cell and atoms, written as POSCAR:
```
YNp2RhN4
1.0
3.438 0.000 0.000
-1.719 5.629 0.000
0.000 0.000 11.614
Y Np Rh N
2 4 2 8
direct
0.109 0.218 0.750
0.891 0.782 0.250
0.372 0.744 0.557
0.628 0.256 0.057
0.628 0.256 0.443
0.372 0.744 0.943
0.846 0.692 0.750
0.154 0.308 0.250
0.269 0.538 0.103
0.731 0.462 0.603
0.731 0.462 0.897
0.269 0.538 0.397
0.000 0.000 0.500
0.000 0.000 0.000
0.464 0.928 0.750
0.536 0.072 0.250
```

Output
As for the volume: 14.046 A^3/atom. The formation energy (no corrections) comes out at -0.91 eV/atom. Its space group is Cmcm. As for the crystal system: orthorhombic.

=====

[9]
The following is a DFT calculation (PBE-GGA) of crystalline CrCoSe2 at its relaxed geometry.

Cell and atoms, written as POSCAR:
```
CrCoSe2
1.0
-0.119 3.131 -1.169
-3.338 1.583 4.579
1.003 2.618 6.911
Co Cr Se
1 1 2
direct
0.500 0.250 0.250
0.500 0.750 0.750
0.000 0.265 0.018
0.000 0.235 0.482
```

Output
As for the volume: 24.703 A^3/atom. The formation energy (no corrections) comes out at -0.04 eV/atom. Its space group is P2/m. As for the crystal system: monoclinic. Its energy above the most stable polymorph in this dataset is 0.348 eV per atom.

=====

[10]
The following is a DFT calculation (PBE-GGA) of crystalline Zr5Pb2 at its relaxed geometry.

Cell and atoms, written as POSCAR:
```
Zr5Pb2
1.0
-3.966 -2.229 -2.308
3.762 -5.323 4.315
-5.456 3.466 6.028
Zr Pb
10 4
direct
0.609 0.719 0.537
0.890 0.281 0.963
0.957 0.412 0.318
0.545 0.588 0.182
0.043 0.588 0.682
0.455 0.412 0.818
0.110 0.719 0.037
0.391 0.281 0.463
0.250 0.000 0.750
0.750 0.000 0.250
0.835 0.170 0.612
0.665 0.830 0.888
0.165 0.830 0.388
0.335 0.170 0.112
```

Output
As for the volume: 23.322 A^3/atom. Its space group is C2/c. As for the crystal system: monoclinic. As for the energy of formation from the pure elements: -0.125 eV/atom.

=====

[11]
The following is a DFT calculation (PBE-GGA) of crystalline K2BaHfSe4 at its relaxed geometry.

Cell and atoms, written as POSCAR:
```
K2BaHfSe4
1.0
-1.590 -0.959 8.764
-4.416 -7.604 -1.714
8.661 1.508 -3.292
K Ba Hf Se
4 2 2 8
direct
0.500 0.000 0.000
0.500 0.000 0.500
0.000 0.000 0.500
0.500 0.500 0.000
0.000 0.500 0.000
0.000 0.500 0.500
0.500 0.500 0.500
0.000 0.000 0.000
0.212 0.791 0.001
0.709 0.288 0.499
0.291 0.712 0.501
0.788 0.209 0.999
0.749 0.751 0.947
0.749 0.751 0.553
0.251 0.249 0.447
0.251 0.249 0.053
```

Output
As for the volume: 31.444 A^3/atom. The formation energy (no corrections) comes out at -1.46 eV/atom. Its space group is Imma. As for the crystal system: orthorhombic.

=====

[12]
The following is a DFT calculation (PBE-GGA) of crystalline YAlP2 at its relaxed geometry.

Cell and atoms, written as POSCAR:
```
YAlP2
1.0
4.016 0.000 0.000
0.000 3.683 -0.004
0.000 1.851 5.925
Y P Al
1 2 1
direct
0.000 0.593 0.440
0.000 0.916 0.793
0.500 0.177 0.271
0.500 0.815 0.996
```

Output
As for the volume: 21.916 A^3/atom. Its space group is Amm2. As for the crystal system: orthorhombic. As for the energy of formation from the pure elements: -0.867 eV/atom.